Density functional theory data (GGA-PBE) for a relaxed La2FeP3Rh12 crystal.

```
La2FeP3Rh12
1.0
4.232 2.443 5.087
-4.232 2.443 5.087
0.000 -4.887 5.087
La Fe P Rh
2 1 3 12
Cartesian
0.000 0.000 1.675 La
0.000 0.000 13.587 La
0.000 0.000 7.631 Fe
-2.116 -1.222 5.087 P
-2.116 1.222 10.175 P
0.000 2.443 5.087 P
-2.135 -1.233 7.289 Rh
0.000 -2.036 4.712 Rh
-1.763 1.018 4.712 Rh
0.000 -2.466 7.973 Rh
-2.135 1.233 7.973 Rh
-1.763 -1.018 10.549 Rh
1.763 1.018 4.712 Rh
2.135 -1.233 7.289 Rh
0.000 2.466 7.289 Rh
1.763 -1.018 10.549 Rh
0.000 2.036 10.549 Rh
2.135 1.233 7.973 Rh
```

Calculated values
Its space group is R-3m. The total DFT energy (no corrections) is -7.05 eV/atom. The calculation puts the formation energy at -22 kJ/mol of atoms. The calculation puts the total magnetization at 0.175 μB per atom. Its density of states at the Fermi level is 13.4 states/eV/f.u. The calculation puts the calculated volume at 17.5 Å³ per atom.